1.
BeCd2Ni2 | PBE | relaxed

Unit cell a=5.7635 b=5.7635 c=4.3312 alpha=90.00 beta=90.00 gamma=90.00
Space group P4/mbm (No. 127)
One atom of each set of equivalent atoms:
Be 0.0000 0.0000 0.0000 [2 per cell]
Cd 0.1722 0.3278 0.5000 [4 per cell]
Ni 0.1454 0.6454 0.0000 [4 per cell]

Summary:
Its magnetic moment is 0.00 μB per cell. The total energy comes out at -3.413 eV per atom.

---

2.
Tb3Er2Tm8 | PBE | relaxed

Unit cell a=19.9481 b=7.5378 c=5.5226 alpha=90.00 beta=90.03 gamma=90.00
Space group C2/m (No. 12)
One atom of each set of equivalent atoms:
Tb 0.0000 0.0000 0.0000 [2 per cell]
Tb 0.0000 0.2866 0.5000 [4 per cell]
Er 0.2411 0.0000 0.9992 [4 per cell]
Tm 0.1096 0.2885 0.0003 [8 per cell]
Tm 0.1336 0.0000 0.4998 [4 per cell]
Tm 0.1687 0.5000 0.5007 [4 per cell]

Summary:
Its magnetic moment is 0.00 μB per cell. As for the energy above the lowest structure with this stoichiometry: 227.5 meV per atom.

---

3.
MgCu2W | PBE | relaxed

Unit cell a=2.7617 b=2.7617 c=27.0419 alpha=90.00 beta=90.00 gamma=120.00
Space group R-3m (No. 166, hexagonal axes)
One atom of each set of equivalent atoms:
Mg 0.0000 0.0000 0.0000 [3 per cell]
Cu 0.0000 0.0000 0.2492 [6 per cell]
W 0.0000 0.0000 0.5000 [3 per cell]

Summary:
Its magnetic moment is 0.00 μB per cell. The total energy comes out at -5.407 eV per atom.